Entry 1:
Here is crystalline LaTmGeS at its relaxed geometry from Alexandria via LeMat-Bulk. Energies are from PBE.

Calculated values
Energy relative to the elements, uncorrected: -1.431 eV per atom

Unit cell a=4.1554 b=4.1554 c=20.3267 alpha=90.00 beta=90.00 gamma=120.00
Closest atoms and distances in Å follow each position.
Space group R3m (No. 160, hexagonal axes)
One atom of each set of equivalent atoms:
La  0.0000  0.0000  0.0000 [3 per cell]  3 Ge 3.00, 3 S 3.02
Tm  0.0000  0.0000  0.4997 [3 per cell]  3 S 2.86, 3 Ge 2.87
Ge  0.0000  0.0000  0.7553 [3 per cell]  3 Tm 2.87, 3 La 3.00
S  0.0000  0.0000  0.2434 [3 per cell]  3 Tm 2.86, 3 La 3.02



Entry 2:
Here is crystalline MgZrTiAl at its relaxed geometry from Alexandria via LeMat-Bulk. Energies are from PBE.

Calculated values
Formation energy from the elements: -0.0922 eV/atom

Unit cell a=6.7039 b=6.7039 c=6.7039 alpha=90.00 beta=90.00 gamma=90.00
Closest atoms and distances in Å follow each position.
Space group F-43m (No. 216)
One atom of each set of equivalent atoms:
Mg  0.0000  0.0000  0.0000 [4 per cell]  4 Zr 2.90, 4 Ti 2.90
Zr  0.2500  0.2500  0.7500 [4 per cell]  4 Mg 2.90, 4 Al 2.90
Ti  0.2500  0.2500  0.2500 [4 per cell]  4 Mg 2.90, 4 Al 2.90
Al  0.0000  0.0000  0.5000 [4 per cell]  4 Zr 2.90, 4 Ti 2.90



Entry 3:
Here is crystalline LiMn2Al at its relaxed geometry from Alexandria via LeMat-Bulk. Energies are from PBE.

Calculated values
Formation energy from the elements: 0.0888 eV/atom

Unit cell a=2.7908 b=4.1929 c=4.2498 alpha=90.00 beta=90.00 gamma=90.00
Closest atoms and distances in Å follow each position.
Space group Pmmm (No. 47)
One atom of each set of equivalent atoms:
Li  0.0000  0.0000  0.0000 [1 per cell]  4 Al 2.52, 4 Mn 2.54, 2 Li 2.79
Mn  0.0000  0.5000  0.5000 [1 per cell]  6 Mn 2.52-2.79, 4 Al 2.54
Mn  0.5000  0.0000  0.5000 [1 per cell]  6 Mn 2.52-2.79, 4 Li 2.54
Al  0.5000  0.5000  0.0000 [1 per cell]  4 Li 2.52, 4 Mn 2.54, 2 Al 2.79



Entry 4:
Here is crystalline MgNiRu2C at its relaxed geometry from Alexandria via LeMat-Bulk. Energies are from PBE.

Calculated values
Formation energy from the elements: 0.0095 eV/atom

Unit cell a=4.0745 b=4.0745 c=3.7954 alpha=90.00 beta=90.00 gamma=90.00
Closest atoms and distances in Å follow each position.
Space group P4/mmm (No. 123)
One atom of each set of equivalent atoms:
Mg  0.0000  0.0000  0.0000 [1 per cell]  8 Ru 2.78, 4 Ni 2.88
Ni  0.5000  0.5000  0.0000 [1 per cell]  2 C 1.90
Ru  0.0000  0.5000  0.5000 [2 per cell]  2 C 2.04
C  0.5000  0.5000  0.5000 [1 per cell]  2 Ni 1.90, 4 Ru 2.04



Entry 5:
Here is crystalline Nd4TmCd5 at its relaxed geometry from Alexandria via LeMat-Bulk. Energies are from PBE.

Calculated values
Formation energy from the elements: -0.3123 eV/atom

Unit cell a=3.8046 b=3.8046 c=19.3337 alpha=90.00 beta=90.00 gamma=90.00
Closest atoms and distances in Å follow each position.
Space group P4/mmm (No. 123)
One atom of each set of equivalent atoms:
Nd  0.0000  0.0000  0.1019 [2 per cell]  8 Cd 3.32-3.33
Nd  0.0000  0.0000  0.3055 [2 per cell]  8 Cd 3.34-3.37
Tm  0.0000  0.0000  0.5000 [1 per cell]  8 Cd 3.20
Cd  0.5000  0.5000  0.0000 [1 per cell]  8 Nd 3.33
Cd  0.5000  0.5000  0.2029 [2 per cell]  8 Nd 3.32-3.34
Cd  0.5000  0.5000  0.4101 [2 per cell]  4 Tm 3.20, 4 Nd 3.37, 1 Cd 3.48



Entry 6:
Here is crystalline Ce3Al6Pt20 at its relaxed geometry from Alexandria via LeMat-Bulk. Energies are from PBE.

Calculated values
Formation energy from the elements: -0.7909 eV/atom

Unit cell a=12.5386 b=12.5386 c=12.5386 alpha=90.00 beta=90.00 gamma=90.00
Closest atoms and distances in Å follow each position.
Space group Fm-3m (No. 225)
One atom of each set of equivalent atoms:
Ce  0.0000  0.0000  0.0000 [4 per cell]  12 Pt 3.05
Ce  0.2500  0.2500  0.2500 [8 per cell]  4 Pt 2.82
Al  0.0000  0.0000  0.2726 [24 per cell]  8 Pt 2.50-2.52
Pt  0.0000  0.1720  0.1720 [48 per cell]  2 Al 2.50, 1 Pt 2.77
Pt  0.1201  0.1201  0.3799 [32 per cell]  3 Al 2.52



Entry 7:
Here is crystalline Pm2SmAg2Pb2 at its relaxed geometry from Alexandria via LeMat-Bulk. Energies are from PBE.

Calculated values
Formation energy from the elements: -0.2868 eV/atom

Unit cell a=4.9782 b=4.9782 c=26.6245 alpha=90.00 beta=90.00 gamma=120.00
Closest atoms and distances in Å follow each position.
Space group R-3m (No. 166, hexagonal axes)
One atom of each set of equivalent atoms:
Pm  0.0000  0.0000  0.1356 [6 per cell]  3 Ag 2.99, 3 Pm 3.32
Sm  0.0000  0.0000  0.0000 [3 per cell]  6 Pb 3.35, 2 Pm 3.61
Ag  0.0000  0.0000  0.4384 [6 per cell]  3 Pm 2.99, 3 Pb 3.07, 1 Ag 3.28
Pb  0.0000  0.0000  0.2684 [6 per cell]  3 Ag 3.07, 3 Sm 3.35



Entry 8:
Here is crystalline Nd6GaSi2Br3 at its relaxed geometry from Alexandria via LeMat-Bulk. Energies are from PBE.

Calculated values
Energy relative to the elements, uncorrected: -1.016 eV per atom

Unit cell a=19.1558 b=4.2733 c=8.8350 alpha=90.00 beta=105.11 gamma=90.00
Closest atoms and distances in Å follow each position.
Space group C2/m (No. 12)
One atom of each set of equivalent atoms:
Nd  0.0082  0.0000  0.2363 [4 per cell]  1 Si 2.93, 2 Ga 2.96, 3 Br 3.20-3.26
Nd  0.1600  0.5000  0.1056 [4 per cell]  2 Si 2.92, 1 Ga 2.96, 3 Br 3.21-3.25
Nd  0.1758  0.5000  0.5633 [4 per cell]  3 Si 2.92, 2 Br 3.24
Ga  0.0000  0.5000  0.0000 [2 per cell]  6 Nd 2.96
Si  0.1666  0.0000  0.3341 [4 per cell]  6 Nd 2.92-2.93
Br  0.0000  0.5000  0.5000 [2 per cell]  6 Nd 3.20-3.27
Br  0.1675  0.0000  0.8331 [4 per cell]  6 Nd 3.21-3.26



Entry 9:
Here is crystalline Na3Tl2Cd2 at its relaxed geometry from Alexandria via LeMat-Bulk. Energies are from PBE.

Calculated values
Formation energy from the elements: -0.1028 eV/atom
Polymorph energy (0 for the lowest one): 0.0 kJ per mole of atoms

Unit cell a=8.9912 b=5.2781 c=8.4569 alpha=90.00 beta=112.12 gamma=90.00
Closest atoms and distances in Å follow each position.
Space group C2/m (No. 12)
One atom of each set of equivalent atoms:
Na  0.0000  0.0000  0.0000 [2 per cell]  2 Na 3.30, 6 Cd 3.30-3.31, 6 Tl 3.56-3.65
Na  0.1409  0.0000  0.4205 [4 per cell]  2 Cd 3.21-3.55, 4 Na 3.26-3.30, 3 Tl 3.29
Tl  0.0819  0.5000  0.7451 [4 per cell]  4 Cd 3.09-3.33, 3 Na 3.29
Cd  0.2236  0.5000  0.1698 [4 per cell]  4 Tl 3.09-3.33, 4 Na 3.21-3.31



Entry 10:
Here is crystalline Dy2BeRu2 at its relaxed geometry from Alexandria via LeMat-Bulk. Energies are from PBE.

Calculated values
Formation energy from the elements: -0.2960 eV/atom
Polymorph energy (0 for the lowest one): 8.1 kJ per mole of atoms

Unit cell a=10.5074 b=5.4076 c=6.7404 alpha=90.00 beta=104.35 gamma=90.00
Closest atoms and distances in Å follow each position.
Space group C2/c (No. 15)
One atom of each set of equivalent atoms:
Dy  0.1455  0.1299  0.1420 [8 per cell]  5 Ru 2.82-3.09, 1 Be 3.05
Be  0.0000  0.3908  0.7500 [4 per cell]  4 Ru 2.31-2.34
Ru  0.1274  0.3718  0.5164 [8 per cell]  2 Be 2.31-2.34



Entry 11:
Here is crystalline RbBaSCl at its relaxed geometry from Alexandria via LeMat-Bulk. Energies are from PBE.

Calculated values
Energy relative to the elements, uncorrected: -1.792 eV per atom
Polymorph energy (0 for the lowest one): 11.4 kJ per mole of atoms

Unit cell a=7.7970 b=7.7970 c=7.7970 alpha=90.00 beta=90.00 gamma=90.00
Closest atoms and distances in Å follow each position.
Space group F-43m (No. 216)
One atom of each set of equivalent atoms:
Rb  0.0000  0.0000  0.0000 [4 per cell]  4 S 3.38, 4 Cl 3.38
Ba  0.0000  0.0000  0.5000 [4 per cell]  4 S 3.38, 4 Cl 3.38
S  0.2500  0.2500  0.2500 [4 per cell]  4 Ba 3.38, 4 Rb 3.38
Cl  0.2500  0.2500  0.7500 [4 per cell]  4 Ba 3.38, 4 Rb 3.38



What did the tenth record say?
Here is crystalline Dy2BeRu2 at its relaxed geometry from Alexandria via LeMat-Bulk. Energies are from PBE.

Calculated values
Formation energy from the elements: -0.2960 eV/atom
Polymorph energy (0 for the lowest one): 8.1 kJ per mole of atoms

Unit cell a=10.5074 b=5.4076 c=6.7404 alpha=90.00 beta=104.35 gamma=90.00
Closest atoms and distances in Å follow each position.
Space group C2/c (No. 15)
One atom of each set of equivalent atoms:
Dy  0.1455  0.1299  0.1420 [8 per cell]  5 Ru 2.82-3.09, 1 Be 3.05
Be  0.0000  0.3908  0.7500 [4 per cell]  4 Ru 2.31-2.34
Ru  0.1274  0.3718  0.5164 [8 per cell]  2 Be 2.31-2.34